1.
Density functional theory data (PBE-GGA) for a geometry-optimized Pr4Ag2Pt structure.

```
Pr4Ag2Pt
1.0
0.062 -2.687 4.498
2.021 -4.832 0.137
8.390 0.765 3.393
Pr Ag Pt
4 2 1
Direct
0.121 0.121 0.636
0.879 0.879 0.364
0.372 0.372 0.884
0.628 0.628 0.116
0.244 0.244 0.268
0.756 0.756 0.732
0.000 0.000 0.000
```

Computed properties:
As for the energy relative to the elements: -0.342 eV per atom. Its size of the total moment is 0.0 μB per formula unit. The value obtained for the calculated volume is 203.6 Å³/cell.

---

2.
Density functional theory data (PBE-GGA) for a geometry-optimized Pr3AgPt structure.

```
Pr3AgPt
1.0
-4.465 -6.240 -1.225
4.698 -2.029 -6.791
3.956 -4.274 7.350
Pt Pr Ag
4 12 4
Direct
0.036 0.319 0.908
0.964 0.681 0.092
0.464 0.819 0.908
0.536 0.181 0.092
0.819 0.000 0.861
0.493 0.717 0.577
0.319 0.500 0.139
0.681 0.500 0.861
0.349 0.119 0.809
0.849 0.381 0.191
0.993 0.783 0.423
0.507 0.283 0.423
0.151 0.619 0.809
0.651 0.881 0.191
0.007 0.217 0.577
0.181 0.000 0.139
0.327 0.969 0.442
0.827 0.531 0.558
0.673 0.031 0.558
0.173 0.469 0.442
```

Computed properties:
As for the energy relative to the elements: -0.501 eV per atom. Its size of the total moment is 0.0 μB per formula unit. The value obtained for the calculated volume is 594.1 Å³/cell.

---

3.
Density functional theory data (PBE-GGA) for a geometry-optimized Pr2AgPt9 structure.

```
Pr2AgPt9
1.0
-3.295 -2.542 3.538
1.877 -4.197 2.949
2.047 3.360 8.537
Ag Pt Pr
1 9 2
Direct
0.000 0.000 0.000
0.414 0.920 0.251
0.586 0.080 0.749
0.586 0.586 0.749
0.500 0.500 0.500
0.080 0.586 0.749
0.920 0.414 0.251
0.332 0.332 0.003
0.414 0.414 0.251
0.668 0.668 0.997
0.865 0.865 0.405
0.135 0.135 0.595
```

Computed properties:
As for the energy relative to the elements: -0.568 eV per atom. Its size of the total moment is 0.0 μB per formula unit. The value obtained for the calculated volume is 228.8 Å³/cell.